1.
## LiTbRhAu (PBE-GGA)

Data for a relaxed LiTbRhAu crystal. Values from VASP.

Structure (Quantum ESPRESSO input):
```
&SYSTEM
  ibrav = 0, nat = 4, ntyp = 4
/
ATOMIC_SPECIES
Li 6.94 Li.upf
Tb 158.93 Tb.upf
Rh 102.91 Rh.upf
Au 196.97 Au.upf
CELL_PARAMETERS angstrom
0.000 3.345 3.345
3.345 0.000 3.345
3.345 3.345 0.000
ATOMIC_POSITIONS crystal
Li 0.000 0.000 0.000
Tb 0.500 0.500 0.500
Rh 0.750 0.750 0.750
Au 0.250 0.250 0.250
```

## Properties
mass density = 10331 kg/m3
total DFT energy (no corrections) = -4.8610 eV/atom
formation energy = -0.568 eV/atom

2.
## RbNa2Ag (PBE-GGA)

Data for a relaxed RbNa2Ag crystal. Values from VASP.

Structure (Quantum ESPRESSO input):
```
&SYSTEM
  ibrav = 0, nat = 4, ntyp = 3
/
ATOMIC_SPECIES
Rb 85.47 Rb.upf
Na 22.99 Na.upf
Ag 107.87 Ag.upf
CELL_PARAMETERS angstrom
5.089 0.000 0.000
0.000 5.089 0.000
0.000 0.000 5.840
ATOMIC_POSITIONS crystal
Rb 0.000 0.000 0.000
Na 0.000 0.500 0.500
Na 0.500 0.000 0.500
Ag 0.500 0.500 0.000
```

## Properties
mass density = 2627 kg/m3
ΔE to the lowest computed polymorph = 10.6 kJ/mol of atoms
total DFT energy (no corrections) = -1.4912 eV/atom
formation energy = 0.123 eV/atom

3.
## La5Th3Se8 (PBE-GGA)

Data for a relaxed La5Th3Se8 crystal. Values from VASP.

Structure (Quantum ESPRESSO input):
```
&SYSTEM
  ibrav = 0, nat = 16, ntyp = 3
/
ATOMIC_SPECIES
La 138.91 La.upf
Th 232.04 Th.upf
Se 78.96 Se.upf
CELL_PARAMETERS angstrom
4.259 2.459 6.999
-4.259 2.459 6.999
0.000 -4.918 6.999
ATOMIC_POSITIONS crystal
La 0.000 0.000 0.000
La 0.000 0.500 0.500
La 0.500 0.000 0.500
La 0.500 0.500 0.000
La 0.500 0.500 0.500
Th 0.000 0.000 0.500
Th 0.000 0.500 0.000
Th 0.500 0.000 0.000
Se 0.246 0.750 0.750
Se 0.248 0.248 0.248
Se 0.250 0.250 0.754
Se 0.250 0.754 0.250
Se 0.750 0.246 0.750
Se 0.750 0.750 0.246
Se 0.752 0.752 0.752
Se 0.754 0.250 0.250
```

## Properties
mass density = 7636 kg/m3
total DFT energy (no corrections) = -6.4998 eV/atom
raw formation energy = -1826.5 meV/atom

4.
## NdCu3Sn3 (PBE-GGA)

Data for a relaxed NdCu3Sn3 crystal. Values from VASP.

Structure (Quantum ESPRESSO input):
```
&SYSTEM
  ibrav = 0, nat = 14, ntyp = 3
/
ATOMIC_SPECIES
Nd 144.24 Nd.upf
Cu 63.55 Cu.upf
Sn 118.71 Sn.upf
CELL_PARAMETERS angstrom
7.077 0.000 0.000
0.000 7.077 0.000
0.000 0.000 7.077
ATOMIC_POSITIONS crystal
Nd 0.000 0.000 0.000
Nd 0.500 0.500 0.500
Cu 0.000 0.250 0.500
Cu 0.000 0.750 0.500
Cu 0.250 0.500 0.000
Cu 0.500 0.000 0.250
Cu 0.500 0.000 0.750
Cu 0.750 0.500 0.000
Sn 0.000 0.500 0.250
Sn 0.000 0.500 0.750
Sn 0.250 0.000 0.500
Sn 0.500 0.250 0.000
Sn 0.500 0.750 0.000
Sn 0.750 0.000 0.500
```

## Properties
mass density = 6475 kg/m3
ΔE to the lowest computed polymorph = 24.0 kJ/mol of atoms
total DFT energy (no corrections) = -3.9924 eV/atom
formation energy = 0.160 eV/atom

Which of these has the highest mass density?
LiTbRhAu

Which formula does entry 3 have?
La5Th3Se8